KPb | PBE | optimized geometry

The structure in POSCAR format:
```
KPb
1.0
6.174 0.000 0.000
-3.087 5.347 0.000
0.000 0.000 7.003
K Pb
2 2
direct
0.333 0.667 0.250 K
0.667 0.333 0.750 K
0.333 0.667 0.750 Pb
0.667 0.333 0.250 Pb
```

* formation enthalpy at 0 K: 0.556 eV per atom
* DFT total energy: -1.847 eV/atom